# 1
First-principles (PBE) data for an optimized crystal structure of Sm8NiRh2, as listed in the Alexandria database.

Properties
Total DFT energy (no corrections) ... -5.56 eV/atom

CIF file:
```
data_Sm8NiRh2
_chemical_formula_sum 'Sm16 Ni2 Rh4'
_space_group_name_H-M_alt 'C 1 m 1'
_space_group_IT_number 8
_cell_length_a 8.4792
_cell_length_b 12.4266
_cell_length_c 6.3298
_cell_angle_alpha 90.00
_cell_angle_beta 110.49
_cell_angle_gamma 90.00
loop_
_space_group_symop_operation_xyz
'x,y,z'
'x,-y,z'
'x+1/2,y+1/2,z'
'x+1/2,-y+1/2,z'
loop_
_atom_site_label
_atom_site_type_symbol
_atom_site_fract_x
_atom_site_fract_y
_atom_site_fract_z
Sm1 Sm 0.0000 0.0000 0.0000
Sm2 Sm 0.0708 0.3663 0.8234
Sm3 Sm 0.1410 0.1334 0.5825
Sm4 Sm 0.2144 0.5000 0.3876
Sm5 Sm 0.3613 0.1959 0.1965
Ni1 Ni 0.3540 0.0000 0.9839
Rh1 Rh 0.3529 0.3151 0.6932
```

=====

# 2
First-principles (PBE) data for an optimized crystal structure of Sm2NiRh3, as listed in the Alexandria database.

Properties
Total DFT energy (no corrections) ... -6.79 eV/atom

CIF file:
```
data_Sm2NiRh3
_chemical_formula_sum 'Sm4 Ni2 Rh6'
_space_group_name_H-M_alt 'P 63/m m c'
_space_group_IT_number 194
_space_group_name_Hall '-P 6c 2c'
_cell_length_a 5.4273
_cell_length_b 5.4273
_cell_length_c 8.4615
_cell_angle_alpha 90.00
_cell_angle_beta 90.00
_cell_angle_gamma 120.00
loop_
_atom_site_label
_atom_site_type_symbol
_atom_site_fract_x
_atom_site_fract_y
_atom_site_fract_z
Sm1 Sm 0.3333 0.6667 0.0639
Ni1 Ni 0.0000 0.0000 0.0000
Rh1 Rh 0.1657 0.3314 0.7500
```

=====

# 3
First-principles (PBE) data for an optimized crystal structure of SmNiRh2, as listed in the Alexandria database.

Properties
Total DFT energy (no corrections) ... -6.82 eV/atom

CIF file:
```
data_SmNiRh2
_chemical_formula_sum 'Sm9 Ni9 Rh18'
_space_group_name_H-M_alt 'R -3 m'
_space_group_IT_number 166
_space_group_name_Hall '-R 3 2"'
_cell_length_a 5.3156
_cell_length_b 5.3156
_cell_length_c 24.9522
_cell_angle_alpha 90.00
_cell_angle_beta 90.00
_cell_angle_gamma 120.00
loop_
_atom_site_label
_atom_site_type_symbol
_atom_site_fract_x
_atom_site_fract_y
_atom_site_fract_z
Sm1 Sm 0.0000 0.0000 0.0000
Sm2 Sm 0.0000 0.0000 0.1402
Ni1 Ni 0.0000 0.0000 0.3329
Ni2 Ni 0.0000 0.0000 0.5000
Rh1 Rh 0.9997 0.4999 0.0814
```

=====

# 4
First-principles (PBE) data for an optimized crystal structure of Sm3Ni7Rh2, as listed in the Alexandria database.

Properties
Total DFT energy (no corrections) ... -6.14 eV/atom

CIF file:
```
data_Sm3Ni7Rh2
_chemical_formula_sum 'Sm9 Ni21 Rh6'
_space_group_name_H-M_alt 'R -3 m'
_space_group_IT_number 166
_space_group_name_Hall '-R 3 2"'
_cell_length_a 5.0736
_cell_length_b 5.0736
_cell_length_c 25.1840
_cell_angle_alpha 90.00
_cell_angle_beta 90.00
_cell_angle_gamma 120.00
loop_
_atom_site_label
_atom_site_type_symbol
_atom_site_fract_x
_atom_site_fract_y
_atom_site_fract_z
Sm1 Sm 0.0000 0.0000 0.0000
Sm2 Sm 0.0000 0.0000 0.1390
Ni1 Ni 0.0000 0.0000 0.5000
Ni2 Ni 0.0006 0.5003 0.0842
Rh1 Rh 0.0000 0.0000 0.3319
```

=====

# 5
First-principles (PBE) data for an optimized crystal structure of SmNi4Rh, as listed in the Alexandria database.

Properties
Total DFT energy (no corrections) ... -6.06 eV/atom

CIF file:
```
data_SmNi4Rh
_chemical_formula_sum 'Sm4 Ni16 Rh4'
_space_group_name_H-M_alt 'F -4 3 m'
_space_group_IT_number 216
_space_group_name_Hall 'F -4 2 3'
_cell_length_a 6.9568
_cell_length_b 6.9568
_cell_length_c 6.9568
_cell_angle_alpha 90.00
_cell_angle_beta 90.00
_cell_angle_gamma 90.00
loop_
_atom_site_label
_atom_site_type_symbol
_atom_site_fract_x
_atom_site_fract_y
_atom_site_fract_z
Sm1 Sm 0.0000 0.0000 0.0000
Ni1 Ni 0.1237 0.1237 0.3763
Rh1 Rh 0.2500 0.2500 0.7500
```

=====

# 6
First-principles (PBE) data for an optimized crystal structure of SmNi5Rh, as listed in the Alexandria database.

Properties
Total DFT energy (no corrections) ... -6.07 eV/atom

CIF file:
```
data_SmNi5Rh
_chemical_formula_sum 'Sm4 Ni20 Rh4'
_space_group_name_H-M_alt 'P n m a'
_space_group_IT_number 62
_cell_length_a 7.9144
_cell_length_b 4.9099
_cell_length_c 9.9783
_cell_angle_alpha 90.00
_cell_angle_beta 90.00
_cell_angle_gamma 90.00
loop_
_space_group_symop_operation_xyz
'x,y,z'
'-x,-y,-z'
'-x+1/2,-y,z+1/2'
'x+1/2,y,-z+1/2'
'x+1/2,-y+1/2,-z+1/2'
'-x+1/2,y+1/2,z+1/2'
'-x,y+1/2,-z'
'x,-y+1/2,z'
loop_
_atom_site_label
_atom_site_type_symbol
_atom_site_fract_x
_atom_site_fract_y
_atom_site_fract_z
Sm1 Sm 0.2423 0.2500 0.0604
Ni1 Ni 0.0636 0.7500 0.0985
Ni2 Ni 0.0702 0.0036 0.3109
Ni3 Ni 0.0981 0.2500 0.5199
Ni4 Ni 0.1787 0.2500 0.7558
Rh1 Rh 0.1437 0.7500 0.8542
```

=====

# 7
First-principles (PBE) data for an optimized crystal structure of Sm2NiRh, as listed in the Alexandria database.

Properties
Total DFT energy (no corrections) ... -6.15 eV/atom

CIF file:
```
data_Sm2NiRh
_chemical_formula_sum 'Sm2 Ni1 Rh1'
_space_group_name_H-M_alt 'P 4/m m m'
_space_group_IT_number 123
_space_group_name_Hall '-P 4 2'
_cell_length_a 4.8819
_cell_length_b 4.8819
_cell_length_c 3.5384
_cell_angle_alpha 90.00
_cell_angle_beta 90.00
_cell_angle_gamma 90.00
loop_
_atom_site_label
_atom_site_type_symbol
_atom_site_fract_x
_atom_site_fract_y
_atom_site_fract_z
Sm1 Sm 0.0000 0.5000 0.0000
Ni1 Ni 0.0000 0.0000 0.5000
Rh1 Rh 0.5000 0.5000 0.5000
```

=====

# 8
First-principles (PBE) data for an optimized crystal structure of Sm3Ni3Rh, as listed in the Alexandria database.

Properties
Total DFT energy (no corrections) ... -5.98 eV/atom

CIF file:
```
data_Sm3Ni3Rh
_chemical_formula_sum 'Sm12 Ni12 Rh4'
_space_group_name_H-M_alt 'C m c m'
_space_group_IT_number 63
_space_group_name_Hall '-C 2c 2'
_cell_length_a 4.3155
_cell_length_b 9.7086
_cell_length_c 13.1611
_cell_angle_alpha 90.00
_cell_angle_beta 90.00
_cell_angle_gamma 90.00
loop_
_atom_site_label
_atom_site_type_symbol
_atom_site_fract_x
_atom_site_fract_y
_atom_site_fract_z
Sm1 Sm 0.0000 0.0158 0.2500
Sm2 Sm 0.0000 0.2755 0.6007
Ni1 Ni 0.0000 0.3111 0.2500
Ni2 Ni 0.0000 0.4325 0.0876
Rh1 Rh 0.0000 0.0000 0.0000
```

=====

# 9
First-principles (PBE) data for an optimized crystal structure of SmNi4Rh2, as listed in the Alexandria database.

Properties
Total DFT energy (no corrections) ... -6.32 eV/atom

CIF file:
```
data_SmNi4Rh2
_chemical_formula_sum 'Sm2 Ni8 Rh4'
_space_group_name_H-M_alt 'I 4/m m m'
_space_group_IT_number 139
_space_group_name_Hall '-I 4 2'
_cell_length_a 6.2615
_cell_length_b 6.2615
_cell_length_c 5.1090
_cell_angle_alpha 90.00
_cell_angle_beta 90.00
_cell_angle_gamma 90.00
loop_
_atom_site_label
_atom_site_type_symbol
_atom_site_fract_x
_atom_site_fract_y
_atom_site_fract_z
Sm1 Sm 0.0000 0.0000 0.0000
Ni1 Ni 0.1930 0.1930 0.5000
Rh1 Rh 0.0000 0.5000 0.2500
```

=====

# 10
First-principles (PBE) data for an optimized crystal structure of Sm5NiRh4, as listed in the Alexandria database.

Properties
Total DFT energy (no corrections) ... -6.51 eV/atom

CIF file:
```
data_Sm5NiRh4
_chemical_formula_sum 'Sm5 Ni1 Rh4'
_space_group_name_H-M_alt 'P 4/m m m'
_space_group_IT_number 123
_space_group_name_Hall '-P 4 2'
_cell_length_a 3.4794
_cell_length_b 3.4794
_cell_length_c 17.6460
_cell_angle_alpha 90.00
_cell_angle_beta 90.00
_cell_angle_gamma 90.00
loop_
_atom_site_label
_atom_site_type_symbol
_atom_site_fract_x
_atom_site_fract_y
_atom_site_fract_z
Sm1 Sm 0.0000 0.0000 0.0000
Sm2 Sm 0.0000 0.0000 0.2013
Sm3 Sm 0.0000 0.0000 0.4011
Ni1 Ni 0.5000 0.5000 0.5000
Rh1 Rh 0.5000 0.5000 0.1007
Rh2 Rh 0.5000 0.5000 0.3023
```

=====

# 11
First-principles (PBE) data for an optimized crystal structure of Sm2NiSn4Rh3, as listed in the Alexandria database.

Properties
Total DFT energy (no corrections) ... -5.96 eV/atom

CIF file:
```
data_Sm2NiSn4Rh3
_chemical_formula_sum 'Sm2 Ni1 Sn4 Rh3'
_space_group_name_H-M_alt 'P -4 m 2'
_space_group_IT_number 115
_cell_length_a 4.5480
_cell_length_b 4.5480
_cell_length_c 10.3707
_cell_angle_alpha 90.00
_cell_angle_beta 90.00
_cell_angle_gamma 90.00
loop_
_space_group_symop_operation_xyz
'x,y,z'
'y,-x,-z'
'-x,-y,z'
'-y,x,-z'
'-x,y,z'
'-y,-x,-z'
'x,-y,z'
'y,x,-z'
loop_
_atom_site_label
_atom_site_type_symbol
_atom_site_fract_x
_atom_site_fract_y
_atom_site_fract_z
Sm1 Sm 0.0000 0.5000 0.2417
Ni1 Ni 0.5000 0.5000 0.0000
Sn1 Sn 0.0000 0.0000 0.5000
Sn2 Sn 0.0000 0.5000 0.8787
Sn3 Sn 0.5000 0.5000 0.5000
Rh1 Rh 0.0000 0.0000 0.0000
Rh2 Rh 0.0000 0.5000 0.6313
```

=====

# 12
First-principles (PBE) data for an optimized crystal structure of TbSmNiRh, as listed in the Alexandria database.

Properties
Total DFT energy (no corrections) ... -6.22 eV/atom

CIF file:
```
data_TbSmNiRh
_chemical_formula_sum 'Tb2 Sm2 Ni2 Rh2'
_space_group_name_H-M_alt 'A m m 2'
_space_group_IT_number 38
_cell_length_a 4.1323
_cell_length_b 3.8722
_cell_length_c 10.7235
_cell_angle_alpha 90.00
_cell_angle_beta 90.00
_cell_angle_gamma 90.00
loop_
_space_group_symop_operation_xyz
'x,y,z'
'-x,-y,z'
'-x,y,z'
'x,-y,z'
'x,y+1/2,z+1/2'
'-x,-y+1/2,z+1/2'
'-x,y+1/2,z+1/2'
'x,-y+1/2,z+1/2'
loop_
_atom_site_label
_atom_site_type_symbol
_atom_site_fract_x
_atom_site_fract_y
_atom_site_fract_z
Tb1 Tb 0.0000 0.0000 0.0000
Sm1 Sm 0.5000 0.0000 0.2812
Ni1 Ni 0.0000 0.0000 0.7165
Rh1 Rh 0.5000 0.0000 0.5595
```